A relaxed structure of Pm2TaCrO6, computed with GGA+U.

Properties
N(E_F): 3.63 states/eV per cell
Uncorrected energy: -8.463 eV/atom

a = 5.198 Å, b = 5.257 Å, c = 5.257 Å
α = 90.00°, β = 90.00°, γ = 90.00°
Last column: magnetic moment on the atom in μB.
Atoms (fractional coordinates):
O: 0.729 0.241 0.759  -0.01
O: 0.729 0.241 0.241  -0.01
O: 0.729 0.759 0.241  -0.01
O: 0.155 0.500 0.500  0.03
O: 0.729 0.759 0.759  -0.01
O: 0.196 0.000 0.000  0.01
Pm: 0.013 0.500 0.000  -0.09
Pm: 0.013 0.000 0.500  -0.09
Cr: 0.584 0.500 0.500  3.66
Ta: 0.568 0.000 0.000  -0.24